(1)
BaYBr5: relaxed, GGA-PBE.

## Properties
- D(E_F) (states/eV/cell) = 0.0
- calculated volume (Å³ per atom) = 38.6
- DFT total energy (eV/atom) = -4.36
- SG = No. 14
- mass density (g/cm³) = 3.85
- formation energy (no corrections) (eV per atom) = -1.967
- magnetization (μB per atom) = 0.000

Structure (POSCAR):
```
BaYBr5
1.0
-7.407 6.725 7.499
-4.436 -7.821 2.633
2.776 -6.789 8.830
Ba Br Y
4 20 4
direct
0.184 0.482 0.222
0.816 0.518 0.778
0.316 0.482 0.722
0.684 0.518 0.278
0.708 0.309 0.126
0.859 0.063 0.011
0.399 0.157 0.053
0.910 0.772 0.857
0.899 0.843 0.447
0.101 0.157 0.553
0.141 0.937 0.989
0.442 0.412 0.237
0.058 0.412 0.737
0.792 0.309 0.626
0.558 0.588 0.763
0.410 0.228 0.643
0.359 0.937 0.489
0.942 0.588 0.263
0.601 0.843 0.947
0.090 0.228 0.143
0.641 0.063 0.511
0.292 0.691 0.874
0.590 0.772 0.357
0.208 0.691 0.374
0.023 0.896 0.230
0.523 0.104 0.270
0.477 0.896 0.730
0.977 0.104 0.770
```



(2)
PaCd2Ge: relaxed, GGA-PBE.

## Properties
- D(E_F) (states/eV/cell) = 5.3
- calculated volume (Å³ per atom) = 23.7
- DFT total energy (eV/atom) = -3.64
- SG = No. 166
- mass density (g/cm³) = 9.24
- magnetization (μB per atom) = 0.148

Structure (POSCAR):
```
PaCd2Ge
1.0
3.057 0.000 0.000
1.529 2.647 0.000
1.529 0.882 11.734
Cd Ge Pa
2 1 1
direct
0.093 0.093 0.722
0.907 0.907 0.278
0.500 0.500 0.500
0.000 0.000 0.000
```



(3)
SbTeBr2: relaxed, GGA-PBE.

## Properties
- D(E_F) (states/eV/cell) = 2.7
- calculated volume (Å³ per atom) = 29.8
- DFT total energy (eV/atom) = -2.59
- SG = No. 12
- mass density (g/cm³) = 5.70
- formation energy (no corrections) (eV per atom) = 0.060
- magnetization (μB per atom) = 0.000

Structure (POSCAR):
```
SbTeBr2
1.0
-1.596 2.657 3.826
1.008 -5.806 1.374
4.161 -0.674 2.383
Sb Br Te
1 2 1
direct
0.000 0.500 0.500
0.500 0.000 0.500
0.000 0.000 0.000
0.500 0.500 0.000
```